1.
First-principles (PBE) data for a relaxed SnHgPt2 crystal, as listed in the Open Quantum Materials Database.

a b c (Å): 4.742 4.742 4.742
angles (deg): 60.00 60.00 60.00
Sites, in units of the cell vectors:
Pt (0.000, 0.000, 0.000)
Pt (0.750, 0.750, 0.750)
Hg (0.250, 0.250, 0.250)
Sn (0.500, 0.500, 0.500)

Results
V   18.85 A^3/atom
Final energy   -16.23 eV per cell
SG   F-43m (216)
Calculated density   15.623 g cm⁻³



2.
First-principles (PBE) data for a relaxed HfCoSnAu crystal, as listed in the Open Quantum Materials Database.

a b c (Å): 4.636 4.636 4.636
angles (deg): 60.00 60.00 60.00
Sites, in units of the cell vectors:
Co (0.750, 0.750, 0.750)
Au (0.250, 0.250, 0.250)
Sn (0.000, 0.000, 0.000)
Hf (0.500, 0.500, 0.500)

Results
V   17.61 A^3/atom
Final energy   -25.03 eV per cell
SG   F-43m (216)
Calculated density   13.036 g cm⁻³
Offset from the most stable computed form   0.0 meV/atom



3.
First-principles (PBE) data for a relaxed Tm3Mg3Pt2Au crystal, as listed in the Open Quantum Materials Database.

a b c (Å): 7.360 7.360 4.030
angles (deg): 90.00 90.00 120.00
Sites, in units of the cell vectors:
Pt (0.333, 0.667, 0.500)
Pt (0.667, 0.333, 0.500)
Mg (0.000, 0.253, 0.500)
Mg (0.747, 0.747, 0.500)
Mg (0.253, 0.000, 0.500)
Tm (0.416, 0.416, 0.000)
Tm (0.000, 0.584, 0.000)
Tm (0.584, 0.000, 0.000)
Au (0.000, 0.000, 0.000)

Results
V   21.01 A^3/atom
Final energy   -41.35 eV per cell
SG   P-62m (189)
Calculated density   10.248 g cm⁻³



4.
First-principles (PBE) data for a relaxed SrLuCuSe3 crystal, as listed in the Open Quantum Materials Database.

a b c (Å): 10.503 4.054 13.595
angles (deg): 90.00 90.00 90.00
Sites, in units of the cell vectors:
Se (0.735, 0.250, 0.828)
Se (0.765, 0.750, 0.328)
Se (0.265, 0.750, 0.172)
Se (0.080, 0.250, 0.390)
Se (0.953, 0.250, 0.117)
Se (0.453, 0.250, 0.383)
Se (0.235, 0.250, 0.672)
Se (0.547, 0.750, 0.617)
Se (0.047, 0.750, 0.883)
Se (0.580, 0.250, 0.110)
Se (0.420, 0.750, 0.890)
Se (0.920, 0.750, 0.610)
Sr (0.730, 0.250, 0.502)
Sr (0.230, 0.250, 0.998)
Sr (0.270, 0.750, 0.498)
Sr (0.770, 0.750, 0.002)
Lu (0.982, 0.250, 0.745)
Lu (0.018, 0.750, 0.255)
Lu (0.482, 0.250, 0.755)
Lu (0.518, 0.750, 0.245)
Cu (0.238, 0.750, 0.778)
Cu (0.262, 0.250, 0.278)
Cu (0.738, 0.750, 0.722)
Cu (0.762, 0.250, 0.222)

Results
V   24.12 A^3/atom
Final energy   -118.44 eV per cell
SG   Pnma (62)
Calculated density   6.461 g cm⁻³
Offset from the most stable computed form   0.0 meV/atom



5.
First-principles (PBE) data for a relaxed CsHg3MoS4 crystal, as listed in the Open Quantum Materials Database.

a b c (Å): 7.291 7.291 7.291
angles (deg): 90.00 90.00 90.00
Sites, in units of the cell vectors:
S (0.677, 0.677, 0.323)
S (0.323, 0.323, 0.323)
S (0.323, 0.677, 0.677)
S (0.677, 0.323, 0.677)
Cs (0.000, 0.000, 0.000)
Hg (0.000, 0.500, 0.500)
Hg (0.500, 0.000, 0.500)
Hg (0.500, 0.500, 0.000)
Mo (0.500, 0.500, 0.500)

Results
V   43.07 A^3/atom
Final energy   -31.66 eV per cell
SG   P-43m (215)
Calculated density   4.108 g cm⁻³



6.
First-principles (PBE) data for a relaxed CsTbNiSe3 crystal, as listed in the Open Quantum Materials Database.

a b c (Å): 11.611 4.345 12.938
angles (deg): 90.00 90.00 90.00
Sites, in units of the cell vectors:
Cs (0.155, 0.750, 0.006)
Cs (0.845, 0.250, 0.994)
Cs (0.345, 0.250, 0.506)
Cs (0.655, 0.750, 0.494)
Ni (0.766, 0.250, 0.705)
Ni (0.734, 0.750, 0.205)
Ni (0.234, 0.750, 0.295)
Ni (0.266, 0.250, 0.795)
Tb (0.997, 0.250, 0.345)
Tb (0.497, 0.250, 0.155)
Tb (0.503, 0.750, 0.845)
Tb (0.003, 0.750, 0.655)
Se (0.116, 0.750, 0.451)
Se (0.716, 0.250, 0.272)
Se (0.562, 0.250, 0.708)
Se (0.438, 0.750, 0.292)
Se (0.884, 0.250, 0.549)
Se (0.784, 0.750, 0.772)
Se (0.216, 0.250, 0.228)
Se (0.384, 0.250, 0.951)
Se (0.938, 0.750, 0.208)
Se (0.062, 0.250, 0.792)
Se (0.284, 0.750, 0.728)
Se (0.616, 0.750, 0.049)

Results
V   27.20 A^3/atom
Final energy   -112.94 eV per cell
SG   Pnma (62)
Calculated density   5.977 g cm⁻³
Offset from the most stable computed form   83.5 meV/atom



7.
First-principles (PBE) data for a relaxed SrAgS2O6 crystal, as listed in the Open Quantum Materials Database.

a b c (Å): 4.621 4.621 15.150
angles (deg): 91.56 91.56 68.15
Sites, in units of the cell vectors:
O (0.288, 0.662, 0.904)
O (0.817, 0.283, 0.886)
O (0.662, 0.288, 0.404)
O (0.183, 0.717, 0.114)
O (0.717, 0.183, 0.614)
O (0.637, 0.754, 0.802)
O (0.754, 0.637, 0.302)
O (0.283, 0.817, 0.386)
O (0.338, 0.712, 0.596)
O (0.246, 0.363, 0.698)
O (0.363, 0.246, 0.198)
O (0.712, 0.338, 0.096)
Ag (0.000, 0.000, 0.500)
Ag (0.000, 0.000, 0.000)
S (0.641, 0.631, 0.395)
S (0.369, 0.359, 0.105)
S (0.359, 0.369, 0.605)
S (0.631, 0.641, 0.895)
Sr (0.948, 0.052, 0.250)
Sr (0.052, 0.948, 0.750)

Results
V   15.01 A^3/atom
Final energy   -113.66 eV per cell
SG   C2/c (15)
Calculated density   3.935 g cm⁻³



8.
First-principles (PBE) data for a relaxed AgPbSeF crystal, as listed in the Open Quantum Materials Database.

a b c (Å): 4.136 4.136 9.476
angles (deg): 90.00 90.00 90.00
Sites, in units of the cell vectors:
Se (0.500, 0.000, 0.697)
Se (0.000, 0.500, 0.303)
Pb (0.500, 0.000, 0.160)
Pb (0.000, 0.500, 0.840)
F (0.500, 0.500, 0.000)
F (0.000, 0.000, 0.000)
Ag (0.500, 0.500, 0.500)
Ag (0.000, 0.000, 0.500)

Results
V   20.27 A^3/atom
Final energy   -32.17 eV per cell
SG   P4/nmm (129)
Calculated density   8.461 g cm⁻³
Offset from the most stable computed form   0.0 meV/atom



9.
First-principles (PBE) data for a relaxed YTlCoCu crystal, as listed in the Open Quantum Materials Database.

a b c (Å): 4.687 4.687 4.687
angles (deg): 60.00 60.00 60.00
Sites, in units of the cell vectors:
Y (0.500, 0.500, 0.500)
Co (0.750, 0.750, 0.750)
Tl (0.000, 0.000, 0.000)
Cu (0.250, 0.250, 0.250)

Results
V   18.21 A^3/atom
Final energy   -19.58 eV per cell
SG   F-43m (216)
Calculated density   9.480 g cm⁻³
Offset from the most stable computed form   0.0 meV/atom